Entry from the Alexandria database: Sm3Mg11 after structural relaxation (GGA-PBE).

```
14
Lattice="-0.6571 4.2778 -2.6787 -8.6445 2.5101 1.2934 -0.9027 6.6989 6.0836" Properties=species:S:1:pos:R:3 pbc="T T T"
Sm 0.0000 0.0000 0.0000
Sm -7.0185 7.8064 4.5167
Sm -3.1858 5.6804 0.1815
Mg -7.4419 11.1916 5.1910
Mg -5.0495 10.4754 3.4604
Mg -9.6208 10.0127 3.8429
Mg -3.8551 7.4182 3.1208
Mg -1.8610 4.7936 3.2759
Mg -4.7736 4.6045 3.6885
Mg -8.3433 8.6932 1.4224
Mg -6.3493 6.0686 1.5775
Mg -0.5836 3.4741 0.8554
Mg -5.1549 3.0114 1.2379
Mg -2.7624 2.2952 -0.4927
```

Properties
Energy relative to the elements in eV per atom: -0.02
Calculated volume in A^3/atom: 26.05
DOS(E_F) in states/eV/f.u.: 13.19
Spin magnetization in μB/cell: 0.0
Final energy in eV/atom: -2.285


Entry from the Alexandria database: SmMg5 after structural relaxation (GGA-PBE).

```
6
Lattice="3.8977 -0.0031 0.0008 -1.9537 5.8514 -0.0123 0.0032 -2.1028 6.6613" Properties=species:S:1:pos:R:3 pbc="T T T"
Mg 1.9491 3.4235 6.3389
Mg -0.0062 3.3945 0.8223
Mg 1.9492 1.0391 1.8479
Mg 1.9500 4.5360 2.8577
Mg -0.0044 2.4044 4.0071
Sm 1.9503 -0.0130 5.1783
```

Properties
Energy relative to the elements in eV per atom: -0.01
Calculated volume in A^3/atom: 25.30
DOS(E_F) in states/eV/f.u.: 3.66
Spin magnetization in μB/cell: 0.0
Final energy in eV/atom: -2.130


Entry from the Alexandria database: SmMg4 after structural relaxation (GGA-PBE).

```
20
Lattice="8.8082 0.0000 0.0000 -2.9361 8.3045 0.0000 -2.9361 -4.1522 7.1919" Properties=species:S:1:pos:R:3 pbc="T T T"
Sm 5.0361 0.0000 0.0000
Sm -1.6787 4.7481 0.0000
Sm 1.2574 1.7782 3.0799
Sm -1.6787 -2.3740 4.1120
Mg 1.8482 0.0000 0.0000
Mg -0.6161 1.7425 0.0000
Mg 2.3200 3.2810 5.6829
Mg -0.6161 -0.8712 1.5090
Mg 2.0493 -1.4490 2.5098
Mg 3.8229 -2.7032 4.6821
Mg -3.8229 2.7032 4.6821
Mg -2.0493 1.4490 2.5098
Mg 2.0493 2.8981 0.0000
Mg 3.8229 5.4064 0.0000
Mg -1.4680 1.0381 5.3939
Mg 4.4041 3.1142 1.7980
Mg 1.4680 -1.0381 5.3939
Mg 1.4680 5.1903 1.7980
Mg 4.4041 0.0000 3.5959
Mg -1.4680 4.1522 3.5959
```

Properties
Energy relative to the elements in eV per atom: 0.05
Calculated volume in A^3/atom: 26.30
DOS(E_F) in states/eV/f.u.: 3.26
Spin magnetization in μB/cell: 0.0
Final energy in eV/atom: -2.168


Q: What is the formula in the first record?
A: Sm3Mg11